Entry from the Alexandria database: an optimized crystal structure of LiTc2F (GGA-PBE).

Computed properties:
As for the raw formation energy: 0.733 eV per atom. The calculated volume comes out at 12.34 A^3/atom.

Unit cell a=4.118 b=4.118 c=4.118 alpha=60.00 beta=60.00 gamma=60.00
Positions (direct):
Li1 0.000 0.000 0.000
Tc1 0.250 0.250 0.250
Tc2 0.750 0.750 0.750
F1 0.500 0.500 0.500